[1]
DFT (meta-GGA SCAN) results for a PBEsol-optimized structure of Ba2PAu.

POSCAR file:
```
Ba2PAu
1.0
-3.023 2.090 1.022
-2.206 -3.282 0.187
1.939 -0.875 7.524
Ba Au P
2 1 1
Direct
0.000 0.000 0.775
0.000 0.000 0.225
0.500 0.500 0.500
0.500 0.500 0.000
```

Summary:
SG   Pmmm (47)
Final energy   -162.48 eV per cell


[2]
DFT (meta-GGA SCAN) results for a PBEsol-optimized structure of Sr2TbBiO6.

POSCAR file:
```
Sr2TbBiO6
1.0
-3.714 3.791 -2.850
-4.446 -2.159 -3.443
-5.726 0.526 1.795
O Tb Sr Bi
6 1 2 1
Direct
0.256 0.256 0.744
0.744 0.744 0.256
0.256 0.744 0.744
0.256 0.744 0.256
0.744 0.256 0.256
0.744 0.256 0.744
0.000 0.000 0.000
0.750 0.750 0.750
0.250 0.250 0.250
0.500 0.500 0.500
```

Summary:
SG   Fm-3m (225)
Final energy   -232.56 eV per cell
ΔE_f (raw)   -2.53 eV per atom


[3]
DFT (meta-GGA SCAN) results for a PBEsol-optimized structure of Mg7Zn.

POSCAR file:
```
Mg7Zn
1.0
6.220 0.000 0.000
3.110 5.387 0.000
3.110 1.796 5.079
Mg Zn
7 1
Direct
0.000 0.500 0.000
0.500 0.500 0.000
0.500 0.500 0.500
0.000 0.000 0.500
0.000 0.500 0.500
0.500 0.000 0.000
0.500 0.000 0.500
0.000 0.000 0.000
```

Summary:
SG   Fm-3m (225)
Final energy   -48.26 eV per cell


[4]
DFT (meta-GGA SCAN) results for a PBEsol-optimized structure of LaBiB2As.

POSCAR file:
```
LaBiB2As
1.0
-3.459 0.502 2.893
1.660 -3.352 2.567
3.443 4.288 3.372
La As B Bi
1 1 2 1
Direct
0.000 0.000 0.500
0.500 0.500 0.500
0.000 0.500 0.000
0.500 0.000 0.000
0.000 0.000 0.000
```

Summary:
SG   P4/mmm (123)
Final energy   -150.18 eV per cell


[5]
DFT (meta-GGA SCAN) results for a PBEsol-optimized structure of BaLi2Mg.

POSCAR file:
```
BaLi2Mg
1.0
-0.006 -1.474 -4.881
4.393 -0.337 -2.567
1.994 -5.944 -0.871
Li Mg Ba
2 1 1
Direct
0.796 0.796 0.611
0.204 0.204 0.389
0.500 0.500 0.500
0.000 0.000 0.000
```

Summary:
SG   R-3m (166)
Final energy   -49.20 eV per cell


[6]
DFT (meta-GGA SCAN) results for a PBEsol-optimized structure of BaMgCd2.

POSCAR file:
```
BaMgCd2
1.0
-2.696 3.315 -0.563
-0.926 0.125 5.173
3.993 3.357 0.647
Cd Mg Ba
2 1 1
Direct
0.000 0.000 0.500
0.000 0.500 0.000
0.500 0.000 0.000
0.500 0.500 0.500
```

Summary:
SG   Cmmm (65)
Final energy   -105.69 eV per cell


[7]
DFT (meta-GGA SCAN) results for a PBEsol-optimized structure of SrSm2BeO5.

POSCAR file:
```
SrSm2BeO5
1.0
-0.796 6.223 1.475
-7.078 -0.703 -0.854
-0.872 -2.267 9.093
Sm Be O Sr
8 4 20 4
Direct
0.904 0.247 0.477
0.072 0.027 0.827
0.428 0.027 0.327
0.596 0.247 0.977
0.928 0.527 0.173
0.404 0.747 0.023
0.096 0.747 0.523
0.572 0.527 0.673
0.193 0.249 0.102
0.693 0.749 0.398
0.807 0.749 0.898
0.307 0.249 0.602
0.163 0.745 0.277
0.316 0.057 0.070
0.476 0.751 0.490
0.976 0.251 0.010
0.337 0.745 0.777
0.365 0.249 0.777
0.304 0.444 0.068
0.184 0.057 0.570
0.196 0.444 0.568
0.135 0.249 0.277
0.816 0.557 0.430
0.663 0.245 0.223
0.524 0.251 0.510
0.684 0.557 0.930
0.024 0.751 0.990
0.837 0.245 0.723
0.865 0.749 0.723
0.804 0.944 0.432
0.635 0.749 0.223
0.696 0.944 0.932
0.918 0.981 0.175
0.582 0.981 0.675
0.418 0.481 0.325
0.082 0.481 0.825
```

Summary:
SG   Pna2_1 (33)
Final energy   -710.65 eV per cell
ΔE_f (raw)   -3.44 eV per atom


[8]
DFT (meta-GGA SCAN) results for a PBEsol-optimized structure of Li2YFe.

POSCAR file:
```
Li2YFe
1.0
-2.800 1.832 -1.035
-2.076 -2.688 0.858
-0.559 2.103 5.237
Li Fe Y
2 1 1
Direct
0.000 0.000 0.697
0.000 0.000 0.303
0.500 0.500 0.500
0.500 0.500 0.000
```

Summary:
SG   P4/mmm (123)
Final energy   -49.14 eV per cell


What did the fifth record say?
DFT (meta-GGA SCAN) results for a PBEsol-optimized structure of BaLi2Mg.

POSCAR file:
```
BaLi2Mg
1.0
-0.006 -1.474 -4.881
4.393 -0.337 -2.567
1.994 -5.944 -0.871
Li Mg Ba
2 1 1
Direct
0.796 0.796 0.611
0.204 0.204 0.389
0.500 0.500 0.500
0.000 0.000 0.000
```

Summary:
SG   R-3m (166)
Final energy   -49.20 eV per cell


What did the first record say?
DFT (meta-GGA SCAN) results for a PBEsol-optimized structure of Ba2PAu.

POSCAR file:
```
Ba2PAu
1.0
-3.023 2.090 1.022
-2.206 -3.282 0.187
1.939 -0.875 7.524
Ba Au P
2 1 1
Direct
0.000 0.000 0.775
0.000 0.000 0.225
0.500 0.500 0.500
0.500 0.500 0.000
```

Summary:
SG   Pmmm (47)
Final energy   -162.48 eV per cell